(1)
Compound: Ce3PuNi8
Source: Alexandria
Functional: GGA-PBE
Structure: optimized geometry

a = 5.0722 Å, b = 5.0722 Å, c = 8.7824 Å
α = 73.22°, β = 73.22°, γ = 60.00°
Last column: nearest neighbours and their distance in Å.
Positions (direct):
Ni (0.6878, 0.6878, 0.9365)  6 Ni 2.52-2.53
Ni (0.4372, 0.9403, 0.1853)  6 Ni 2.52-2.55
Ni (0.1875, 0.1875, 0.4374)  6 Ni 2.54-2.55
Ni (0.4372, 0.4372, 0.1853)  6 Ni 2.52-2.55
Ni (0.9374, 0.4357, 0.6894)  6 Ni 2.52-2.55
Ni (0.9403, 0.4372, 0.1853)  6 Ni 2.52-2.55
Ni (0.9374, 0.9374, 0.6894)  6 Ni 2.52-2.55
Ni (0.4357, 0.9374, 0.6894)  6 Ni 2.52-2.55
Pu (0.8720, 0.8720, 0.3839)  12 Ni 2.93-3.02, 4 Ce 3.02-3.04
Ce (0.5057, 0.5057, 0.4829)  12 Ni 2.87-3.06, 3 Pu 3.04, 1 Ce 3.17
Ce (0.9935, 0.9935, 0.0196)  12 Ni 2.88-3.10, 1 Pu 3.02, 3 Ce 3.19
Ce (0.3781, 0.3781, 0.8656)  12 Ni 2.93-3.02, 4 Ce 3.17-3.19

Computed properties:
* ΔE_f: -4.51 eV/f.u.
* space-group type: R3m, No. 160
* total magnetic moment: 6.72 μB per cell

---

(2)
Compound: Cs3Li2PrCl8
Source: Alexandria
Functional: GGA-PBE
Structure: optimized geometry

a = 7.5956 Å, b = 7.5956 Å, c = 9.8467 Å
α = 90.00°, β = 90.00°, γ = 120.00°
Last column: nearest neighbours and their distance in Å.
Positions (direct):
Li (0.3333, 0.6667, 0.2151)  4 Cl 2.22-2.46
Li (0.6667, 0.3333, 0.7849)  4 Cl 2.22-2.46
Cl (0.6624, 0.8312, 0.3343)  1 Li 2.46, 1 Pr 2.76
Cl (0.3376, 0.1688, 0.6657)  1 Li 2.46, 1 Pr 2.76
Cl (0.8312, 0.1688, 0.6657)  1 Li 2.46, 1 Pr 2.76
Cl (0.1688, 0.3376, 0.3343)  1 Li 2.46, 1 Pr 2.76
Cl (0.1688, 0.8312, 0.3343)  1 Li 2.46, 1 Pr 2.76
Cl (0.8312, 0.6624, 0.6657)  1 Li 2.46, 1 Pr 2.76
Cl (0.6667, 0.3333, 0.0102)  1 Li 2.22
Cl (0.3333, 0.6667, 0.9898)  1 Li 2.22
Cs (0.3333, 0.6667, 0.6615)  1 Cl 3.23
Cs (0.6667, 0.3333, 0.3385)  1 Cl 3.23
Cs (0.0000, 0.0000, 0.0000)  12 Cl 3.97-4.39
Pr (0.0000, 0.0000, 0.5000)  6 Cl 2.76

Computed properties:
* formation energy from raw total energies: -2.005 eV per atom
* space-group type: P-3m1, No. 164
* total magnetic moment: 0.00 μB per cell

---

| no. | calculated total energy (eV per atom) |
| --- | --- |
| 1 | -6.908 |
| 2 | -3.858 |